Entry 1:
# PBE InCoRu3, optimized geometry
data_InCoRu3
_cell_length_a 4.481
_cell_length_b 4.481
_cell_length_c 4.481
_cell_angle_alpha 90.00
_cell_angle_beta 90.00
_cell_angle_gamma 90.00
_symmetry_space_group_name_H-M 'P m -3 m'
_symmetry_Int_Tables_number 221
_symmetry_space_group_name_Hall '-P 4 2 3'
loop_
_atom_site_label
_atom_site_fract_x
_atom_site_fract_y
_atom_site_fract_z
In1 0.000 0.000 0.000
Co1 0.500 0.500 0.500
Ru1 0.000 0.500 0.500
# - DFT formation energy: 5.7 eV/f.u.
# - Distance to the lowest polymorph of the same formula: 0 meV per atom
# - Total magnetic moment: 5.68 μB/cell

Entry 2:
# PBE Tb2Pm3PrSe6, optimized geometry
data_Tb2Pm3PrSe6
_cell_length_a 7.210
_cell_length_b 12.545
_cell_length_c 7.238
_cell_angle_alpha 90.00
_cell_angle_beta 109.46
_cell_angle_gamma 90.00
_symmetry_space_group_name_H-M 'C 1 2/m 1'
_symmetry_Int_Tables_number 12
loop_
_symmetry_equiv_pos_as_xyz
'x,y,z'
'-x,-y,-z'
'-x,y,-z'
'x,-y,z'
'x+1/2,y+1/2,z'
'-x+1/2,-y+1/2,-z'
'-x+1/2,y+1/2,-z'
'x+1/2,-y+1/2,z'
loop_
_atom_site_label
_atom_site_fract_x
_atom_site_fract_y
_atom_site_fract_z
Tb1 0.000 0.166 0.000
Pm1 0.000 0.000 0.500
Pm2 0.000 0.340 0.500
Pr1 0.000 0.500 0.000
Se1 0.238 0.000 0.242
Se2 0.246 0.172 0.753
# - Raw formation energy: -1.817 eV/atom
# - Total magnetic moment: 0.00 μB/cell

Entry 3:
# PBE Cd3Ag2Au2, optimized geometry
data_Cd3Ag2Au2
_cell_length_a 4.751
_cell_length_b 2.926
_cell_length_c 10.247
_cell_angle_alpha 90.00
_cell_angle_beta 102.31
_cell_angle_gamma 90.00
_symmetry_space_group_name_H-M 'P 1 2/m 1'
_symmetry_Int_Tables_number 10
loop_
_symmetry_equiv_pos_as_xyz
'x,y,z'
'-x,-y,-z'
'-x,y,-z'
'x,-y,z'
loop_
_atom_site_label
_atom_site_fract_x
_atom_site_fract_y
_atom_site_fract_z
Cd1 0.000 0.000 0.000
Cd2 0.287 0.000 0.581
Ag1 0.148 0.000 0.276
Au1 0.413 0.500 0.850
# - DFT formation energy: 0.0 eV/f.u.
# - Distance to the lowest polymorph of the same formula: 90 meV per atom
# - Total magnetic moment: 0.00 μB/cell

Entry 4:
# PBE Pm2Dy3YSe6, optimized geometry
data_Pm2Dy3YSe6
_cell_length_a 17.971
_cell_length_b 4.097
_cell_length_c 8.289
_cell_angle_alpha 90.00
_cell_angle_beta 103.83
_cell_angle_gamma 90.00
_symmetry_space_group_name_H-M 'C 1 2/m 1'
_symmetry_Int_Tables_number 12
loop_
_symmetry_equiv_pos_as_xyz
'x,y,z'
'-x,-y,-z'
'-x,y,-z'
'x,-y,z'
'x+1/2,y+1/2,z'
'-x+1/2,-y+1/2,-z'
'-x+1/2,y+1/2,-z'
'x+1/2,-y+1/2,z'
loop_
_atom_site_label
_atom_site_fract_x
_atom_site_fract_y
_atom_site_fract_z
Pm1 0.168 0.000 0.336
Dy1 0.000 0.500 0.500
Dy2 0.169 0.000 0.833
Y1 0.000 0.500 0.000
Se1 0.003 0.000 0.751
Se2 0.163 0.500 0.590
Se3 0.166 0.500 0.075
# - Raw formation energy: -1.781 eV/atom
# - Total magnetic moment: 0.00 μB/cell

Entry 5:
# PBE Ca2NdAu2, optimized geometry
data_Ca2NdAu2
_cell_length_a 5.075
_cell_length_b 5.193
_cell_length_c 10.992
_cell_angle_alpha 90.00
_cell_angle_beta 90.00
_cell_angle_gamma 90.00
_symmetry_space_group_name_H-M 'P m m n'
_symmetry_Int_Tables_number 59
loop_
_symmetry_equiv_pos_as_xyz
'x,y,z'
'-x,-y,-z'
'-x+1/2,-y+1/2,z'
'x+1/2,y+1/2,-z'
'x+1/2,-y,-z'
'-x+1/2,y,z'
'-x,y+1/2,-z'
'x,-y+1/2,z'
loop_
_atom_site_label
_atom_site_fract_x
_atom_site_fract_y
_atom_site_fract_z
Ca1 0.250 0.250 0.002
Ca2 0.250 0.250 0.329
Nd1 0.250 0.250 0.662
Au1 0.250 0.750 0.166
Au2 0.250 0.750 0.509
# - DFT formation energy: -3.1 eV/f.u.
# - Distance to the lowest polymorph of the same formula: 0 meV per atom
# - Total magnetic moment: 0.00 μB/cell

no.,uncorrected energy (eV/f.u.)
1,-31.97
2,-71.01
3,-15.02
4,-72.06
5,-18.47